No. 1
## TlAg2Rh (PBE)

Data for a relaxed structure of TlAg2Rh.

a b c (Å): 5.046 3.078 4.792
angles (deg): 87.98 90.00 90.00
Element x y z (fractional)
Tl  0.500  0.500  0.000
Rh  0.500  0.000  0.500
Ag  0.000  0.248  0.741
Ag  0.000  0.752  0.259

Properties
Polymorph energy (0 for the lowest one): 104 meV/atom
Calculated formation energy: 0.194 eV/atom
E: -3.661 eV per atom
Symmetry: P2/m, No. 10

No. 2
## TlAgRh2 (PBE)

Data for a relaxed structure of TlAgRh2.

a b c (Å): 2.935 3.923 5.993
angles (deg): 90.00 90.00 90.00
Element x y z (fractional)
Rh  0.000  0.000  0.013
Rh  0.500  0.500  0.230
Tl  0.000  0.000  0.488
Ag  0.500  0.500  0.768

Properties
Polymorph energy (0 for the lowest one): 90 meV/atom
Calculated formation energy: 0.267 eV/atom
E: -4.713 eV per atom
Symmetry: Pmm2, No. 25

No. 3
## Tl2AgRh (PBE)

Data for a relaxed structure of Tl2AgRh.

a b c (Å): 3.431 4.034 5.991
angles (deg): 90.00 90.00 90.00
Element x y z (fractional)
Tl  0.000  0.000  0.956
Tl  0.500  0.500  0.282
Ag  0.000  0.000  0.496
Rh  0.500  0.500  0.766

Properties
Polymorph energy (0 for the lowest one): 95 meV/atom
Calculated formation energy: 0.209 eV/atom
E: -3.525 eV per atom
Symmetry: Pmm2, No. 25

No. 4
## TlAg2Rh (PBE)

Data for a relaxed structure of TlAg2Rh.

a b c (Å): 4.023 4.023 4.454
angles (deg): 90.00 90.00 90.00
Element x y z (fractional)
Tl  0.000  0.500  0.500
Ag  0.000  0.000  0.000
Ag  0.500  0.500  0.000
Rh  0.500  0.000  0.500

Properties
Polymorph energy (0 for the lowest one): 0 meV/atom
Calculated formation energy: 0.090 eV/atom
E: -3.765 eV per atom
Symmetry: P4/mmm, No. 123

No. 5
## TlAgRh2 (PBE)

Data for a relaxed structure of TlAgRh2.

a b c (Å): 8.987 8.987 8.987
angles (deg): 19.37 19.37 19.37
Element x y z (fractional)
Rh  0.751  0.751  0.751
Rh  0.249  0.249  0.249
Ag  0.000  0.000  0.000
Tl  0.500  0.500  0.500

Properties
Polymorph energy (0 for the lowest one): 156 meV/atom
Calculated formation energy: 0.333 eV/atom
E: -4.648 eV per atom
Symmetry: R-3m, No. 166

No. 6
## TlAg2Rh (PBE)

Data for a relaxed structure of TlAg2Rh.

a b c (Å): 5.054 5.054 3.153
angles (deg): 90.00 90.00 112.80
Element x y z (fractional)
Tl  0.500  0.500  0.500
Ag  0.000  0.500  0.000
Ag  0.500  0.000  0.000
Rh  0.000  0.000  0.500

Properties
Polymorph energy (0 for the lowest one): 142 meV/atom
Calculated formation energy: 0.232 eV/atom
E: -3.623 eV per atom
Symmetry: Cmmm, No. 65

No. 7
## TlAg2Rh (PBE)

Data for a relaxed structure of TlAg2Rh.

a b c (Å): 3.041 4.287 5.679
angles (deg): 90.00 90.00 90.00
Element x y z (fractional)
Tl  0.500  0.500  0.500
Ag  0.000  0.000  0.764
Ag  0.000  0.000  0.236
Rh  0.500  0.500  0.000

Properties
Polymorph energy (0 for the lowest one): 149 meV/atom
Calculated formation energy: 0.239 eV/atom
E: -3.616 eV per atom
Symmetry: Pmmm, No. 47

No. 8
## TlAg2Rh (PBE)

Data for a relaxed structure of TlAg2Rh.

a b c (Å): 9.966 9.966 9.966
angles (deg): 17.42 17.42 17.42
Element x y z (fractional)
Ag  0.242  0.242  0.242
Ag  0.758  0.758  0.758
Rh  0.500  0.500  0.500
Tl  0.000  0.000  0.000

Properties
Polymorph energy (0 for the lowest one): 285 meV/atom
Calculated formation energy: 0.375 eV/atom
E: -3.480 eV per atom
Symmetry: R-3m, No. 166

No. 9
## Tl2AgRh (PBE)

Data for a relaxed structure of Tl2AgRh.

a b c (Å): 3.337 3.337 7.824
angles (deg): 90.00 90.00 90.00
Element x y z (fractional)
Tl  0.500  0.500  0.282
Tl  0.000  0.000  0.940
Rh  0.500  0.500  0.742
Ag  0.000  0.000  0.537

Properties
Polymorph energy (0 for the lowest one): 72 meV/atom
Calculated formation energy: 0.186 eV/atom
E: -3.548 eV per atom
Symmetry: P4mm, No. 99

No. 10
## Tl2AgRh (PBE)

Data for a relaxed structure of Tl2AgRh.

a b c (Å): 9.238 9.238 9.238
angles (deg): 20.48 20.48 20.48
Element x y z (fractional)
Rh  0.000  0.000  0.000
Ag  0.500  0.500  0.500
Tl  0.257  0.257  0.257
Tl  0.743  0.743  0.743

Properties
Polymorph energy (0 for the lowest one): 108 meV/atom
Calculated formation energy: 0.222 eV/atom
E: -3.512 eV per atom
Symmetry: R-3m, No. 166

No. 11
## Tl2AgRh (PBE)

Data for a relaxed structure of Tl2AgRh.

a b c (Å): 3.281 3.285 7.605
angles (deg): 90.00 90.00 90.00
Element x y z (fractional)
Rh  0.500  0.500  0.500
Tl  0.000  0.000  0.272
Tl  0.000  0.000  0.728
Ag  0.500  0.500  0.000

Properties
Polymorph energy (0 for the lowest one): 73 meV/atom
Calculated formation energy: 0.186 eV/atom
E: -3.547 eV per atom
Symmetry: P4/mmm, No. 123

No. 12
## Tl2Ag2Rh (PBE)

Data for a relaxed structure of Tl2Ag2Rh.

a b c (Å): 7.158 7.158 4.203
angles (deg): 90.00 90.00 90.00
Element x y z (fractional)
Ag  0.364  0.864  0.000
Ag  0.636  0.136  0.000
Ag  0.136  0.364  0.000
Ag  0.864  0.636  0.000
Tl  0.325  0.175  0.500
Tl  0.175  0.675  0.500
Tl  0.825  0.325  0.500
Tl  0.675  0.825  0.500
Rh  0.000  0.000  0.000
Rh  0.500  0.500  0.000

Properties
Calculated formation energy: 0.393 eV/atom
E: -3.164 eV per atom
Symmetry: P4/mbm, No. 127

No. 13
## Tl2AgRh (PBE)

Data for a relaxed structure of Tl2AgRh.

a b c (Å): 4.803 3.476 4.806
angles (deg): 90.00 90.00 90.00
Element x y z (fractional)
Ag  0.500  0.500  0.000
Rh  0.000  0.500  0.500
Tl  0.000  0.000  0.000
Tl  0.500  0.000  0.500

Properties
Polymorph energy (0 for the lowest one): 102 meV/atom
Calculated formation energy: 0.216 eV/atom
E: -3.518 eV per atom
Symmetry: P4/mmm, No. 123

No. 14
## TlAgRh (PBE)

Data for a relaxed structure of TlAgRh.

a b c (Å): 4.558 4.558 3.093
angles (deg): 90.00 90.00 120.00
Element x y z (fractional)
Tl  0.333  0.667  0.661
Ag  0.000  0.000  0.982
Rh  0.667  0.333  0.357

Properties
Polymorph energy (0 for the lowest one): 120 meV/atom
Calculated formation energy: 0.234 eV/atom
E: -3.956 eV per atom
Symmetry: P3m1, No. 156

No. 15
## TlAg2Rh (PBE)

Data for a relaxed structure of TlAg2Rh.

a b c (Å): 2.994 2.994 8.616
angles (deg): 90.00 90.00 90.00
Element x y z (fractional)
Ag  0.000  0.000  0.784
Ag  0.000  0.000  0.216
Tl  0.500  0.500  0.500
Rh  0.500  0.500  0.000

Properties
Polymorph energy (0 for the lowest one): 225 meV/atom
Calculated formation energy: 0.315 eV/atom
E: -3.540 eV per atom
Symmetry: P4/mmm, No. 123

No. 16
## TmTlAgRh (PBE)

Data for a relaxed structure of TmTlAgRh.

a b c (Å): 4.831 4.831 4.831
angles (deg): 60.00 60.00 60.00
Element x y z (fractional)
Rh  0.750  0.750  0.750
Ag  0.250  0.250  0.250
Tm  0.000  0.000  0.000
Tl  0.500  0.500  0.500

Properties
Calculated formation energy: -0.314 eV/atom
E: -4.574 eV per atom
Symmetry: F-43m, No. 216